A geometry-optimized TcIr2Au structure. Source: Alexandria via LeMat-Bulk, functional GGA-PBE.

Geometry as extended XYZ:
```
4
Lattice="9.308 -0.012 -0.007 8.895 2.742 -0.007 8.895 1.334 2.396" Properties=species:S:1:pos:R:3 pbc="T T T"
Au 20.323 3.049 1.786
Ir 26.931 4.040 2.367
Ir 13.715 2.057 1.206
Tc 6.774 1.016 0.595
```

Calculated values
* ΔE_f: 0.06 eV per atom
* calculated volume: 15.4 A^3/atom